Density functional theory data (GGA-PBE) for a relaxed structure of La4MgAl3.

Geometry as POSCAR:
```
La4MgAl3
1.0
2.714 1.567 8.867
-2.714 1.567 8.867
0.000 -3.134 8.867
La Mg Al
4 1 3
Direct
0.121 0.121 0.121
0.372 0.372 0.372
0.628 0.628 0.628
0.879 0.879 0.879
0.500 0.500 0.500
0.000 0.000 0.000
0.245 0.245 0.245
0.755 0.755 0.755
```

Properties
* formation energy from the elements: -0.307 eV/atom
* D(E_F): 7.2 states/eV/cell
* space group: No. 166
* energy: -4.37 eV per atom


Density functional theory data (GGA-PBE) for a relaxed structure of La3Mg7Al4.

Geometry as POSCAR:
```
La3Mg7Al4
1.0
8.709 -2.368 0.000
8.709 2.368 0.000
-6.128 0.000 8.453
La Mg Al
3 7 4
Direct
0.000 0.000 0.000
0.296 0.296 0.284
0.704 0.704 0.716
0.000 0.000 0.500
0.160 0.160 0.428
0.331 0.331 0.984
0.494 0.494 0.692
0.506 0.506 0.308
0.669 0.669 0.016
0.840 0.840 0.572
0.127 0.127 0.843
0.348 0.348 0.734
0.652 0.652 0.266
0.873 0.873 0.157
```

Properties
* formation energy from the elements: -0.224 eV/atom
* D(E_F): 7.0 states/eV/cell
* space group: No. 12
* energy: -3.15 eV per atom


Density functional theory data (GGA-PBE) for a relaxed structure of La3MgAl.

Geometry as POSCAR:
```
La3MgAl
1.0
5.830 0.000 0.000
0.000 5.830 0.000
0.000 0.000 5.830
La Mg Al
3 1 1
Direct
0.000 0.000 0.500
0.000 0.500 0.000
0.500 0.000 0.000
0.500 0.500 0.500
0.000 0.000 0.000
```

Properties
* formation energy from the elements: 0.254 eV/atom
* D(E_F): 6.3 states/eV/cell
* ΔE to the lowest computed polymorph: 432 meV/atom
* space group: No. 221
* energy: -3.77 eV per atom


Density functional theory data (GGA-PBE) for a relaxed structure of LaMgAl.

Geometry as POSCAR:
```
LaMgAl
1.0
6.522 0.000 0.000
0.000 5.185 0.000
0.000 0.000 9.297
La Mg Al
4 4 4
Direct
0.217 0.250 0.080
0.283 0.750 0.580
0.717 0.250 0.420
0.783 0.750 0.920
0.012 0.250 0.725
0.488 0.750 0.225
0.512 0.250 0.775
0.988 0.750 0.275
0.204 0.250 0.411
0.296 0.750 0.911
0.704 0.250 0.089
0.796 0.750 0.589
```

Properties
* formation energy from the elements: -0.247 eV/atom
* D(E_F): 3.4 states/eV/cell
* space group: No. 62
* energy: -3.67 eV per atom


Density functional theory data (GGA-PBE) for a relaxed structure of La4MgAl2.

Geometry as POSCAR:
```
La4MgAl2
1.0
2.685 1.550 8.621
-2.685 1.550 8.621
0.000 -3.100 8.621
La Mg Al
4 1 2
Direct
0.115 0.115 0.115
0.368 0.368 0.368
0.632 0.632 0.632
0.885 0.885 0.885
0.500 0.500 0.500
0.243 0.243 0.243
0.757 0.757 0.757
```

Properties
* formation energy from the elements: -0.208 eV/atom
* D(E_F): 6.5 states/eV/cell
* space group: No. 166
* energy: -4.32 eV per atom


Density functional theory data (GGA-PBE) for a relaxed structure of LaMg14Al.

Geometry as POSCAR:
```
LaMg14Al
1.0
10.455 0.000 0.000
0.000 3.196 5.712
0.000 -3.196 5.712
La Mg Al
1 14 1
Direct
0.000 0.000 0.000
0.000 0.009 0.494
0.000 0.494 0.009
0.230 0.649 0.649
0.254 0.155 0.653
0.254 0.653 0.155
0.259 0.158 0.158
0.500 0.493 0.493
0.500 0.495 0.984
0.500 0.984 0.495
0.500 0.990 0.990
0.741 0.158 0.158
0.746 0.155 0.653
0.746 0.653 0.155
0.770 0.649 0.649
0.000 0.479 0.479
```

Properties
* formation energy from the elements: -0.006 eV/atom
* D(E_F): 7.6 states/eV/cell
* ΔE to the lowest computed polymorph: 0 meV/atom
* space group: No. 38
* energy: -1.94 eV per atom


Question: formation energy from the elements of number 6 (LaMg14Al)?
Answer: -0.006 eV/atom


Question: Look up the D(E_F) of the fourth one.
Answer: 3.4 states/eV/cell